1.
Here is crystalline CdAu2Se at its relaxed geometry from the Alexandria database. Energies are from GGA-PBE.

Geometry as POSCAR:
```
CdAu2Se
1.0
2.958 0.000 0.000
0.000 4.136 0.000
0.000 0.000 6.713
Cd Au Se
1 2 1
Direct
0.000 0.000 0.000 Cd
0.500 0.500 0.219 Au
0.500 0.500 0.781 Au
0.500 0.000 0.500 Se
```

Results
Polymorph energy (0 for the lowest one): 14 meV/atom
Energy: -2.760 eV per atom
Formation energy from raw total energies: -0.02 eV/atom
Fermi-level density of states: 0.58 states/eV/f.u.
Calculated density: 11.83 g/cm3
Spin magnetization: 0.00 μB/atom



2.
Here is crystalline Nd9Er4Hg11 at its relaxed geometry from the Alexandria database. Energies are from GGA-PBE.

Geometry as POSCAR:
```
Nd9Er4Hg11
1.0
7.939 -11.712 0.000
7.939 11.712 0.000
0.000 0.000 3.570
Nd Er Hg
9 4 11
Direct
0.000 0.000 0.000 Nd
0.133 0.643 0.000 Nd
0.292 0.454 0.000 Nd
0.357 0.867 0.000 Nd
0.454 0.292 0.000 Nd
0.546 0.708 0.000 Nd
0.643 0.133 0.000 Nd
0.708 0.546 0.000 Nd
0.867 0.357 0.000 Nd
0.054 0.247 0.000 Er
0.247 0.054 0.000 Er
0.753 0.946 0.000 Er
0.946 0.753 0.000 Er
0.084 0.438 0.500 Hg
0.138 0.862 0.500 Hg
0.223 0.223 0.500 Hg
0.337 0.663 0.500 Hg
0.438 0.084 0.500 Hg
0.500 0.500 0.500 Hg
0.562 0.916 0.500 Hg
0.663 0.337 0.500 Hg
0.777 0.777 0.500 Hg
0.862 0.138 0.500 Hg
0.916 0.562 0.500 Hg
```

Results
Energy: -3.069 eV per atom
Fermi-level density of states: 22.79 states/eV/f.u.
Calculated density: 10.44 g/cm3
E_form: -383 meV per atom
Spin magnetization: 0.14 μB/atom



3.
Here is crystalline Li2Tl6Pb at its relaxed geometry from the Alexandria database. Energies are from GGA-PBE.

Geometry as POSCAR:
```
Li2Tl6Pb
1.0
6.178 -1.727 0.000
6.178 1.727 0.000
-3.670 0.000 11.432
Li Tl Pb
2 6 1
Direct
0.144 0.144 0.201 Li
0.856 0.856 0.799 Li
0.177 0.177 0.875 Tl
0.189 0.189 0.594 Tl
0.474 0.474 0.652 Tl
0.526 0.526 0.348 Tl
0.811 0.811 0.406 Tl
0.823 0.823 0.125 Tl
0.500 0.500 0.000 Pb
```

Results
Polymorph energy (0 for the lowest one): 0 meV/atom
Energy: -2.494 eV per atom
Fermi-level density of states: 3.48 states/eV/f.u.
Calculated density: 9.85 g/cm3
E_form: -79 meV per atom
Spin magnetization: 0.00 μB/atom



4.
Here is crystalline HoTmZnRe at its relaxed geometry from the Alexandria database. Energies are from GGA-PBE.

Geometry as POSCAR:
```
HoTmZnRe
1.0
0.000 3.451 3.451
3.451 0.000 3.451
3.451 3.451 0.000
Ho Tm Zn Re
1 1 1 1
Direct
0.000 0.000 0.000 Ho
0.500 0.500 0.500 Tm
0.750 0.750 0.750 Zn
0.250 0.250 0.250 Re
```

Results
Energy: -5.753 eV per atom
Fermi-level density of states: 2.46 states/eV/f.u.
Calculated density: 11.83 g/cm3
E_form: -61 meV per atom
Spin magnetization: 0.00 μB/atom



5.
Here is crystalline LiPa4Ga12 at its relaxed geometry from the Alexandria database. Energies are from GGA-PBE.

Geometry as POSCAR:
```
LiPa4Ga12
1.0
-4.335 4.335 4.335
4.335 -4.335 4.335
4.335 4.335 -4.335
Li Pa Ga
1 4 12
Direct
0.000 0.000 0.000 Li
0.000 0.000 0.500 Pa
0.000 0.500 0.000 Pa
0.500 0.000 0.000 Pa
0.500 0.500 0.500 Pa
0.000 0.292 0.292 Ga
0.000 0.708 0.708 Ga
0.250 0.500 0.750 Ga
0.250 0.750 0.500 Ga
0.292 0.000 0.292 Ga
0.292 0.292 0.000 Ga
0.500 0.250 0.750 Ga
0.500 0.750 0.250 Ga
0.708 0.000 0.708 Ga
0.708 0.708 0.000 Ga
0.750 0.250 0.500 Ga
0.750 0.500 0.250 Ga
```

Results
Energy: -4.860 eV per atom
Fermi-level density of states: 16.81 states/eV/f.u.
Calculated density: 9.01 g/cm3
E_form: -377 meV per atom
Spin magnetization: 0.00 μB/atom



6.
Here is crystalline Ho2Al5Fe5 at its relaxed geometry from the Alexandria database. Energies are from GGA-PBE.

Geometry as POSCAR:
```
Ho2Al5Fe5
1.0
4.064 0.000 0.000
0.000 5.130 0.000
0.000 0.000 9.078
Ho Al Fe
2 5 5
Direct
0.000 0.000 0.000 Ho
0.000 0.500 0.500 Ho
0.000 0.000 0.315 Al
0.000 0.000 0.685 Al
0.000 0.500 0.169 Al
0.000 0.500 0.831 Al
0.500 0.000 0.500 Al
0.500 0.256 0.247 Fe
0.500 0.256 0.753 Fe
0.500 0.500 0.000 Fe
0.500 0.744 0.247 Fe
0.500 0.744 0.753 Fe
```

Results
Energy: -6.150 eV per atom
Fermi-level density of states: 9.86 states/eV/f.u.
Calculated density: 6.53 g/cm3
E_form: -301 meV per atom
Spin magnetization: 0.67 μB/atom